Entry 1:
Here is crystalline PmTh2FeN4 at its relaxed geometry from the Alexandria database. Energies are from PBE-GGA.

abc: 3.605 11.786 11.893
angles: 90.00 90.00 90.00
Space group Cmcm (No. 63)
Inequivalent atoms, fractional coordinates:
Pm 0.000 0.100 0.250
Th 0.000 0.368 0.058
Fe 0.000 0.164 0.750
N 0.000 0.000 0.000
N 0.000 0.268 0.622
N 0.000 0.450 0.250

## Properties
Energy relative to the elements, uncorrected, eV per atom: -1.145
D(E_F), states/eV per cell: 8.088
Mass density, g/cm3: 9.48

***

Entry 2:
Here is crystalline PmThFeN4 at its relaxed geometry from the Alexandria database. Energies are from PBE-GGA.

abc: 3.745 3.745 12.744
angles: 90.00 90.00 90.00
Space group I4mm (No. 107)
Inequivalent atoms, fractional coordinates:
Pm 0.000 0.000 0.000
Th 0.000 0.000 0.280
Fe 0.000 0.000 0.622
N 0.000 0.000 0.475
N 0.000 0.000 0.816
N 0.000 0.500 0.144

## Properties
Energy relative to the elements, uncorrected, eV per atom: -0.881
D(E_F), states/eV per cell: 3.872
Mass density, g/cm3: 9.08

***

Entry 3:
Here is crystalline PmTm2FeN4 at its relaxed geometry from the Alexandria database. Energies are from PBE-GGA.

abc: 3.362 11.283 11.364
angles: 90.00 90.00 90.00
Space group Cmcm (No. 63)
Inequivalent atoms, fractional coordinates:
Pm 0.000 0.114 0.250
Tm 0.000 0.368 0.045
Fe 0.000 0.154 0.750
N 0.000 0.000 0.000
N 0.000 0.266 0.628
N 0.000 0.420 0.250

## Properties
Energy relative to the elements, uncorrected, eV per atom: -1.192
D(E_F), states/eV per cell: 13.513
Mass density, g/cm3: 9.16

***

Entry 4:
Here is crystalline PmU2FeN4 at its relaxed geometry from the Alexandria database. Energies are from PBE-GGA.

abc: 3.423 11.440 11.243
angles: 90.00 90.00 90.00
Space group Cmcm (No. 63)
Inequivalent atoms, fractional coordinates:
Pm 0.000 0.103 0.250
U 0.000 0.369 0.059
Fe 0.000 0.161 0.750
N 0.000 0.000 0.000
N 0.000 0.269 0.613
N 0.000 0.444 0.250

## Properties
Energy relative to the elements, uncorrected, eV per atom: -1.183
D(E_F), states/eV per cell: 21.591
Mass density, g/cm3: 11.06

***

Entry 5:
Here is crystalline Pr3Fe5N12 at its relaxed geometry from the Alexandria database. Energies are from PBE-GGA.

abc: 12.380 12.380 12.380
angles: 90.00 90.00 90.00
Space group Ia-3d (No. 230)
Inequivalent atoms, fractional coordinates:
Pr 0.000 0.250 0.125
Fe 0.000 0.000 0.000
Fe 0.000 0.250 0.375
N 0.041 0.045 0.648

## Properties
Energy relative to the elements, uncorrected, eV per atom: -0.129
D(E_F), states/eV per cell: 73.322
Mass density, g/cm3: 6.09

***

Entry 6:
Here is crystalline PrFeN at its relaxed geometry from the Alexandria database. Energies are from PBE-GGA.

abc: 3.4402 3.4402 4.3224
angles: 90.00 90.00 120.00
Space group P-6m2 (No. 187)
Inequivalent atoms, fractional coordinates:
Pr 0.0000 0.0000 0.0000
Fe 0.6667 0.3333 0.5000
N 0.3333 0.6667 0.5000

## Properties
Energy above the lowest structure with this stoichiometry, kJ/mol of formula units: 118.4
Energy relative to the elements, uncorrected, eV per atom: -0.155
D(E_F), states/eV per cell: 1.920
Mass density, g/cm3: 7.90

***

Entry 7:
Here is crystalline Pr2FeN at its relaxed geometry from the Alexandria database. Energies are from PBE-GGA.

abc: 3.5036 3.5036 25.7943
angles: 90.00 90.00 120.00
Space group R-3m (No. 166, hexagonal axes)
Inequivalent atoms, fractional coordinates:
Pr 0.0000 0.0000 0.1100
Fe 0.0000 0.0000 0.0000
N 0.0000 0.0000 0.5000

## Properties
Energy relative to the elements, uncorrected, eV per atom: -0.014
D(E_F), states/eV per cell: 9.953
Mass density, g/cm3: 6.39

***

Entry 8:
Here is crystalline Pr12Fe3N5 at its relaxed geometry from the Alexandria database. Energies are from PBE-GGA.

abc: 15.792 15.792 15.792
angles: 90.00 90.00 90.00
Space group Ia-3d (No. 230)
Inequivalent atoms, fractional coordinates:
Pr 0.029 0.056 0.651
Fe 0.000 0.250 0.125
N 0.000 0.000 0.000
N 0.000 0.250 0.375

## Properties
Energy relative to the elements, uncorrected, eV per atom: -0.399
D(E_F), states/eV per cell: 116.018
Mass density, g/cm3: 6.50

***

Entry 9:
Here is crystalline PrFeN at its relaxed geometry from the Alexandria database. Energies are from PBE-GGA.

abc: 10.840 3.563 5.079
angles: 90.00 92.04 90.00
Space group C2/m (No. 12)
Inequivalent atoms, fractional coordinates:
Pr 0.136 0.000 0.246
Fe 0.090 0.500 0.732
N 0.104 0.000 0.743

## Properties
Energy above the lowest structure with this stoichiometry, kJ/mol of formula units: 0.0
Energy relative to the elements, uncorrected, eV per atom: -0.564
D(E_F), states/eV per cell: 11.302
Mass density, g/cm3: 7.14

***

Entry 10:
Here is crystalline Pr2Fe2Si2N at its relaxed geometry from the Alexandria database. Energies are from PBE-GGA.

abc: 10.864 3.932 6.997
angles: 90.00 127.74 90.00
Space group C2/m (No. 12)
Inequivalent atoms, fractional coordinates:
Pr 0.059 0.000 0.298
Fe 0.191 0.500 0.078
Si 0.177 0.500 0.734
N 0.000 0.500 0.000

## Properties
Energy relative to the elements, uncorrected, eV per atom: -0.760
D(E_F), states/eV per cell: 8.711
Mass density, g/cm3: 6.51

***

Entry 11:
Here is crystalline PrFe2SiN at its relaxed geometry from the Alexandria database. Energies are from PBE-GGA.

abc: 3.819 10.636 6.807
angles: 90.00 90.00 90.00
Space group Cmcm (No. 63)
Inequivalent atoms, fractional coordinates:
Pr 0.000 0.053 0.250
Fe 0.000 0.337 0.059
Si 0.000 0.226 0.750
N 0.000 0.500 0.000

## Properties
Energy relative to the elements, uncorrected, eV per atom: -0.699
D(E_F), states/eV per cell: 16.342
Mass density, g/cm3: 7.08

***

Entry 12:
Here is crystalline Tb2PrFeN4 at its relaxed geometry from the Alexandria database. Energies are from PBE-GGA.

abc: 3.433 11.523 11.626
angles: 90.00 90.00 90.00
Space group Cmcm (No. 63)
Inequivalent atoms, fractional coordinates:
Tb 0.000 0.132 0.045
Pr 0.000 0.386 0.250
Fe 0.000 0.342 0.750
N 0.000 0.091 0.250
N 0.000 0.233 0.630
N 0.000 0.500 0.000

## Properties
Energy relative to the elements, uncorrected, eV per atom: -1.088
D(E_F), states/eV per cell: 13.184
Mass density, g/cm3: 8.24